Record 1
The following is a GGA-PBEsol calculation of crystalline BeNb2PtSe at its relaxed geometry, from Alexandria.

* ΔE_f (raw): 310 kJ/mol of formula units

Cell lengths 4.7236, 4.7236, 3.9384 Å; angles 90.00, 90.00, 90.00 degrees
Last column: nearest neighbours and their distance in Å.
Fractional coordinates of all 5 atoms:
Be 0.0000 0.0000 0.0000  2 Se 1.97
Nb 0.0000 0.5000 0.5000  2 Se 2.36
Nb 0.5000 0.0000 0.5000  2 Se 2.36
Pt 0.5000 0.5000 0.0000  8 Nb 3.08, 4 Be 3.34
Se 0.0000 0.0000 0.5000  2 Be 1.97

Record 2
The following is a GGA-PBEsol calculation of crystalline Ti2CrCoAs at its relaxed geometry, from Alexandria.

* DFT formation energy: 3.1 eV per formula unit

Cell lengths 4.6357, 4.6357, 4.1989 Å; angles 90.00, 90.00, 90.00 degrees
Last column: nearest neighbours and their distance in Å.
Fractional coordinates of all 5 atoms:
Ti 0.0000 0.5000 0.0000  2 As 2.32
Ti 0.5000 0.0000 0.0000  2 As 2.32
Cr 0.0000 0.0000 0.5000  8 Ti 3.13, 4 Co 3.28
Co 0.5000 0.5000 0.5000  2 As 2.10
As 0.5000 0.5000 0.0000  2 Co 2.10, 4 Ti 2.32

Results for ρ: 8.86 5.18 (in Mg/m³, following the order of the records).
Results for E: -6.65 -7.33 (in eV per atom, following the order of the records).